1.
In2HgI2 meta-GGA SCAN single point on PBEsol structure; magnetization = 0.0000 μB per atom; crystal system = tetragonal
1.0
-3.818 -0.857 1.148
-2.040 -2.715 -8.812
2.616 -8.825 2.114
I In Hg
4 4 2
direct
0.000 0.148 0.352
0.000 0.352 0.852
0.000 0.852 0.648
0.000 0.648 0.148
0.500 0.146 0.646
0.500 0.646 0.854
0.500 0.854 0.354
0.500 0.354 0.146
0.000 0.500 0.500
0.000 0.000 0.000


2.
Pr meta-GGA SCAN single point on PBEsol structure; magnetization = 0.0148 μB per atom; crystal system = tetragonal; calculated formation energy = 0.084 eV/atom
1.0
-2.590 1.047 -2.174
1.465 -3.173 -0.561
-1.493 -0.210 3.203
Pr
1
direct
0.000 0.000 0.000


3.
Li7Sn2 meta-GGA SCAN single point on PBEsol structure; magnetization = 0.0000 μB per atom; crystal system = orthorhombic; calculated formation energy = -0.403 eV/atom
1.0
-0.835 -4.344 -1.449
6.487 0.515 -5.283
2.674 -2.972 7.367
Li Sn
14 4
direct
0.500 0.498 0.821
0.000 0.655 0.655
0.500 0.179 0.502
0.000 0.973 0.658
0.000 0.345 0.345
0.000 0.027 0.342
0.500 0.173 0.827
0.500 0.827 0.173
0.000 0.658 0.973
0.000 0.342 0.027
0.000 0.000 0.000
0.500 0.502 0.179
0.500 0.821 0.498
0.500 0.500 0.500
0.000 0.681 0.319
0.500 0.837 0.837
0.500 0.163 0.163
0.000 0.319 0.681


4.
Li2MoP5O15 meta-GGA SCAN single point on PBEsol structure; magnetization = 0.1304 μB per atom; crystal system = monoclinic
1.0
5.230 -0.070 0.000
-1.989 8.524 0.000
0.000 0.000 13.735
O Mo P Li
30 2 10 4
direct
0.614 0.881 0.159
0.171 0.697 0.150
0.854 0.574 0.577
0.541 0.902 0.750
0.043 0.457 0.250
0.957 0.543 0.750
0.752 0.048 0.558
0.248 0.952 0.442
0.248 0.952 0.058
0.386 0.119 0.841
0.946 0.083 0.250
0.146 0.426 0.077
0.276 0.488 0.874
0.477 0.734 0.495
0.724 0.512 0.374
0.724 0.512 0.126
0.523 0.266 0.505
0.171 0.697 0.350
0.829 0.303 0.850
0.829 0.303 0.650
0.146 0.426 0.423
0.854 0.574 0.923
0.459 0.098 0.250
0.614 0.881 0.341
0.752 0.048 0.942
0.386 0.119 0.659
0.276 0.488 0.626
0.054 0.917 0.750
0.523 0.266 0.995
0.477 0.734 0.005
0.500 0.500 0.000
0.500 0.500 0.500
0.624 0.175 0.916
0.011 0.520 0.143
0.989 0.480 0.643
0.660 0.002 0.250
0.011 0.520 0.357
0.340 0.998 0.750
0.376 0.825 0.416
0.624 0.175 0.584
0.989 0.480 0.857
0.376 0.825 0.084
0.211 0.114 0.355
0.789 0.886 0.645
0.211 0.114 0.145
0.789 0.886 0.855


5.
YCdHg meta-GGA SCAN single point on PBEsol structure; magnetization = 0.0001 μB per atom; crystal system = hexagonal; calculated formation energy = -0.567 eV/atom
1.0
3.418 0.000 0.000
0.000 4.832 0.000
0.000 -2.416 4.185
Cd Hg Y
1 1 1
direct
0.000 0.000 0.000
0.000 0.333 0.667
0.500 0.667 0.333


6.
TiBr4 meta-GGA SCAN single point on PBEsol structure; magnetization = 0.0000 μB per atom; crystal system = cubic
1.0
11.284 0.000 0.000
0.000 11.284 0.000
0.000 0.000 11.284
Br Ti
32 8
direct
0.986 0.509 0.252
0.748 0.252 0.752
0.991 0.752 0.986
0.514 0.491 0.752
0.986 0.991 0.752
0.252 0.986 0.509
0.509 0.248 0.486
0.248 0.248 0.248
0.248 0.014 0.009
0.486 0.509 0.248
0.752 0.986 0.991
0.752 0.752 0.752
0.991 0.748 0.486
0.491 0.748 0.014
0.014 0.491 0.748
0.491 0.752 0.514
0.248 0.252 0.748
0.748 0.248 0.252
0.752 0.748 0.252
0.748 0.014 0.491
0.748 0.486 0.991
0.252 0.752 0.748
0.514 0.009 0.252
0.752 0.514 0.491
0.486 0.991 0.748
0.509 0.252 0.986
0.252 0.514 0.009
0.248 0.486 0.509
0.014 0.009 0.248
0.009 0.248 0.014
0.252 0.748 0.248
0.009 0.252 0.514
0.130 0.370 0.630
0.130 0.130 0.130
0.630 0.370 0.870
0.370 0.630 0.130
0.630 0.130 0.370
0.370 0.870 0.630
0.870 0.630 0.370
0.870 0.870 0.870


7.
Dy2CdS4 meta-GGA SCAN single point on PBEsol structure; magnetization = 0.0000 μB per atom; crystal system = cubic
1.0
7.868 0.000 0.000
3.934 6.814 0.000
3.934 2.271 6.424
S Cd Dy
8 2 4
direct
0.368 0.368 0.368
0.368 0.896 0.368
0.882 0.882 0.882
0.368 0.368 0.896
0.354 0.882 0.882
0.896 0.368 0.368
0.882 0.882 0.354
0.882 0.354 0.882
0.750 0.750 0.750
0.500 0.500 0.500
0.125 0.625 0.125
0.125 0.125 0.625
0.125 0.125 0.125
0.625 0.125 0.125


8.
Ca2YHg meta-GGA SCAN single point on PBEsol structure; magnetization = 0.0820 μB per atom; crystal system = tetragonal; calculated formation energy = -0.356 eV/atom
1.0
-0.449 3.653 0.316
-1.894 0.042 -3.172
-7.946 -1.386 4.725
Hg Ca Y
1 2 1
direct
0.000 0.000 0.513
0.000 0.000 0.986
0.500 0.500 0.308
0.500 0.500 0.693


9.
Na3PbSe meta-GGA SCAN single point on PBEsol structure; magnetization = 0.6083 μB per atom; crystal system = cubic
1.0
5.755 0.000 0.000
0.000 5.755 0.000
0.000 0.000 5.755
Pb Na Se
1 3 1
direct
0.000 0.000 0.000
0.000 0.500 0.000
0.000 0.000 0.500
0.500 0.000 0.000
0.500 0.500 0.500


10.
HfAlAs3 meta-GGA SCAN single point on PBEsol structure; magnetization = 0.0000 μB per atom; crystal system = cubic; calculated formation energy = 0.360 eV/atom
1.0
-4.417 -0.536 2.430
2.073 -3.533 2.987
1.378 3.596 3.298
As Al Hf
3 1 1
direct
0.500 0.000 0.000
0.000 0.500 0.000
0.000 0.000 0.500
0.500 0.500 0.500
0.000 0.000 0.000


11.
PrNiAs meta-GGA SCAN single point on PBEsol structure; magnetization = 0.0000 μB per atom; crystal system = hexagonal; calculated formation energy = -1.115 eV/atom
1.0
-2.455 0.195 -3.252
-1.528 -0.974 3.654
-1.374 7.795 1.504
Pr Ni As
2 2 2
direct
0.000 0.000 0.000
0.000 0.000 0.500
0.333 0.667 0.250
0.667 0.333 0.750
0.333 0.667 0.750
0.667 0.333 0.250


12.
MoPb2 meta-GGA SCAN single point on PBEsol structure; magnetization = 0.0000 μB per atom; crystal system = trigonal; calculated formation energy = 0.933 eV/atom
1.0
-1.398 2.632 -0.398
-3.957 -2.417 -2.094
0.114 0.819 5.021
Pb Mo
2 1
direct
0.746 0.667 0.333
0.254 0.333 0.667
0.000 0.000 0.000


no.,E_tot (eV per atom)
1,-41.923
2,-43.241
3,-10.244
4,-10.401
5,-42.708
6,-20.075
7,-25.406
8,-29.190
9,-21.583
10,-25.840
11,-27.678
12,-61.216